The following is a DFT calculation (GGA-PBEsol) of a relaxed YMg4Zn crystal.

POSCAR file:
```
YMg4Zn
1.0
-4.736 3.231 1.012
-1.897 0.757 5.452
0.517 5.200 2.567
Mg Y Zn
4 1 1
Direct
0.375 0.874 0.375
0.375 0.375 0.874
0.874 0.375 0.375
0.375 0.375 0.375
0.750 0.750 0.750
0.000 0.000 0.000
```

Computed properties:
- Fermi-level density of states (states/eV/cell) = 4.105
- space-group type = F-43m, No. 216
- magnetization (μB per formula unit) = 0.0
- VASP energy (eV/atom) = -2.42